A plane-wave DFT calculation with GGA+U was carried out for a relaxed Li2CrC3O9 crystal.

The structure belongs to space group Ama2 (No. 40); the cell edges are 9.534, 9.847 and 7.062 Å and the angles 90.00°, 90.00° and 90.00°. The asymmetric unit holds Li at (0.000, 0.000, 0.000), Li at (0.250, 0.181, 0.008), Cr at (0.250, 0.259, 0.476), C at (0.021, 0.271, 0.767), C at (0.250, 0.464, 0.169), O at (0.069, 0.169, 0.856), O at (0.099, 0.338, 0.646), O at (0.107, 0.185, 0.289), O at (0.250, 0.091, 0.617), O at (0.250, 0.376, 0.043) and O at (0.250, 0.442, 0.352).

The total energy is -7.112 eV/atom. As for the total magnetization: 8.0 μB/cell.